A relaxed structure of BaZnF2. Source: Alexandria via LeMat-Bulk, functional PBE-GGA.

The structure belongs to space group R-3m (No. 166, hexagonal axes); the cell edges are 4.1229, 4.1229 and 21.4402 Å and the angles 90.00°, 90.00° and 120.00°. Symmetry generates all atoms from Ba at (0.0000, 0.0000, 0.0000), Zn at (0.0000, 0.0000, 0.5000) and F at (0.0000, 0.0000, 0.3789).

The size of the total moment is 0.0 μB/f.u. The calculation puts the calculated volume at 26.3 A^3/atom. For the formation energy (no corrections), the calculation gives -2.468 eV/atom. Its energy above the most stable polymorph in this dataset is 0 meV/atom.

A relaxed structure of KZrTl. Source: Alexandria via LeMat-Bulk, functional PBE-GGA.

The structure belongs to space group I4mm (No. 107); the cell edges are 3.344, 3.344 and 16.375 Å and the angles 90.00°, 90.00° and 90.00°. Symmetry generates all atoms from K at (0.000, 0.000, 0.000), Zr at (0.000, 0.000, 0.707) and Tl at (0.000, 0.000, 0.331).

The size of the total moment is 0.0 μB/f.u. Its calculated formation energy is 374 meV per atom. The calculation puts the calculated volume at 30.5 A^3/atom. Its energy above the most stable polymorph in this dataset is 351 meV/atom.

A relaxed structure of Ba2GaSn4. Source: Alexandria via LeMat-Bulk, functional PBE-GGA.

The structure belongs to space group I4/mmm (No. 139); the cell edges are 5.504, 5.504 and 17.022 Å and the angles 90.00°, 90.00° and 90.00°. Symmetry generates all atoms from Ba at (0.000, 0.000, 0.141), Ga at (0.000, 0.000, 0.500), Sn at (0.000, 0.000, 0.346) and Sn at (0.000, 0.500, 0.000).

The size of the total moment is 0.0 μB/f.u. Its calculated formation energy is -208 meV per atom. The calculation puts the calculated volume at 36.8 A^3/atom. Its energy above the most stable polymorph in this dataset is 237 meV/atom.

A relaxed structure of CeCrMoC3. Source: Alexandria via LeMat-Bulk, functional PBE-GGA.

The structure belongs to space group P2_1/m (No. 11); the cell edges are 6.809, 3.270 and 7.508 Å and the angles 90.00°, 105.92° and 90.00°. Symmetry generates all atoms from Ce at (0.195, 0.250, 0.205), Cr at (0.108, 0.250, 0.609), Mo at (0.348, 0.750, 0.870), C at (0.119, 0.250, 0.862), C at (0.187, 0.750, 0.523) and C at (0.447, 0.750, 0.158).

The size of the total moment is 0.0 μB/f.u. Its calculated formation energy is 44 meV per atom. The calculation puts the calculated volume at 13.4 A^3/atom.

A relaxed structure of ZrSb2TeW. Source: Alexandria via LeMat-Bulk, functional PBE-GGA.

The structure belongs to space group P4/mmm (No. 123); the cell edges are 5.204, 5.204 and 5.401 Å and the angles 90.00°, 90.00° and 90.00°. Symmetry generates all atoms from Zr at (0.000, 0.000, 0.000), Sb at (0.000, 0.500, 0.500), Te at (0.500, 0.500, 0.000) and W at (0.500, 0.500, 0.500).

The size of the total moment is 2.5 μB/f.u. The calculation puts the calculated volume at 29.3 A^3/atom. For the formation energy (no corrections), the calculation gives 0.899 eV/atom. Its energy above the most stable polymorph in this dataset is 0 meV/atom.

A relaxed structure of MnMo2Os. Source: Alexandria via LeMat-Bulk, functional PBE-GGA.

The structure belongs to space group Immm (No. 71); the cell edges are 3.150, 4.290 and 8.701 Å and the angles 90.00°, 90.00° and 90.00°. Symmetry generates all atoms from Mn at (0.000, 0.000, 0.000), Mo at (0.000, 0.500, 0.252) and Os at (0.000, 0.000, 0.500).

The size of the total moment is 2.9 μB/f.u. Its calculated formation energy is 91 meV per atom. The calculation puts the calculated volume at 14.7 A^3/atom. Its energy above the most stable polymorph in this dataset is 0 meV/atom.